[1]
Computed, not measured: a geometry-optimized Er5Tl2Fe structure at the PBE level of DFT.

Unit cell a=4.5707 b=7.8277 c=11.7400 alpha=90.00 beta=90.00 gamma=90.00
Element x y z (fractional)
Er (0.5000, 0.3197, 0.0678)
Er (0.5000, 0.6803, 0.9322)
Er (0.5000, 0.8197, 0.4322)
Er (0.5000, 0.1803, 0.5678)
Er (0.0000, 0.8604, 0.6970)
Er (0.0000, 0.1396, 0.3030)
Er (0.0000, 0.3604, 0.8030)
Er (0.0000, 0.6396, 0.1970)
Er (0.0000, 0.5000, 0.5000)
Er (0.0000, 0.0000, 0.0000)
Tl (0.5000, 0.4286, 0.3301)
Tl (0.5000, 0.5714, 0.6699)
Tl (0.5000, 0.0714, 0.8301)
Tl (0.5000, 0.9286, 0.1699)
Fe (0.0000, 0.0000, 0.5000)
Fe (0.0000, 0.5000, 0.0000)

## Properties
energy: -4.674 eV/atom
DOS at the Fermi energy: 15.77 states/eV/cell
formation energy from the elements: -0.1729 eV per atom
total moment: 0.00 μB/f.u.

[2]
Computed, not measured: a geometry-optimized Al2TlBi structure at the PBE level of DFT.

Unit cell a=5.2244 b=5.2244 c=5.2244 alpha=60.00 beta=60.00 gamma=60.00
Element x y z (fractional)
Tl (0.0000, 0.0000, 0.0000)
Bi (0.5000, 0.5000, 0.5000)
Al (0.2500, 0.2500, 0.2500)
Al (0.7500, 0.7500, 0.7500)

## Properties
energy: -3.156 eV/atom
distance to the lowest polymorph of the same formula: 0 meV per atom
DOS at the Fermi energy: 2.23 states/eV/cell
formation energy from the elements: 0.2775 eV per atom
total moment: 0.00 μB/f.u.

[3]
Computed, not measured: a geometry-optimized PaZnGaNi structure at the PBE level of DFT.

Unit cell a=4.6080 b=4.6080 c=4.6080 alpha=60.00 beta=60.00 gamma=60.00
Element x y z (fractional)
Ni (0.7500, 0.7500, 0.7500)
Zn (0.2500, 0.2500, 0.2500)
Pa (0.0000, 0.0000, 0.0000)
Ga (0.5000, 0.5000, 0.5000)

## Properties
energy: -5.137 eV/atom
distance to the lowest polymorph of the same formula: 0 meV per atom
DOS at the Fermi energy: 2.32 states/eV/cell
formation energy from the elements: -0.2424 eV per atom
total moment: 0.00 μB/f.u.

[4]
Computed, not measured: a geometry-optimized BaSnTeI2 structure at the PBE level of DFT.

Unit cell a=6.4607 b=6.4607 c=6.7937 alpha=90.00 beta=90.00 gamma=90.00
Last column: magnetic moment on the atom in μB.
Element x y z (fractional)
I (0.0000, 0.5000, 0.0000)  0.01
I (0.5000, 0.0000, 0.0000)  0.01
Te (0.0000, 0.0000, 0.5000)  0.20
Ba (0.0000, 0.0000, 0.0000)  0.00
Sn (0.5000, 0.5000, 0.5000)  -0.19

## Properties
energy relative to the elements, uncorrected: -28.1 kJ/mol of atoms
energy: -2.725 eV/atom
distance to the lowest polymorph of the same formula: 505 meV per atom
DOS at the Fermi energy: 2.68 states/eV/cell
total moment: 0.02 μB/f.u.

[5]
Computed, not measured: a geometry-optimized Cs3As4Pt4 structure at the PBE level of DFT.

Unit cell a=4.2417 b=5.6578 c=12.9607 alpha=102.61 beta=99.42 gamma=90.00
Element x y z (fractional)
Cs (0.3592, 0.8592, 0.7185)
Cs (0.6408, 0.1408, 0.2815)
Cs (0.0000, 0.0000, 0.0000)
As (0.2498, 0.2498, 0.4996)
As (0.0999, 0.5999, 0.1998)
As (0.9001, 0.4001, 0.8002)
As (0.7502, 0.7502, 0.5004)
Pt (0.7994, 0.2994, 0.5988)
Pt (0.4466, 0.4466, 0.8931)
Pt (0.5534, 0.5534, 0.1069)
Pt (0.2006, 0.7006, 0.4012)

## Properties
energy: -4.395 eV/atom
DOS at the Fermi energy: 6.94 states/eV/cell
formation energy from the elements: -0.2747 eV per atom
total moment: 0.00 μB/f.u.

[6]
Computed, not measured: a geometry-optimized PuTaPd2 structure at the PBE level of DFT.

Unit cell a=2.9463 b=2.9463 c=8.4562 alpha=90.00 beta=90.00 gamma=90.00
Last column: magnetic moment on the atom in μB.
Element x y z (fractional)
Ta (0.5000, 0.5000, 0.0000)  0.06
Pd (0.0000, 0.0000, 0.7775)  0.06
Pd (0.0000, 0.0000, 0.2225)  0.06
Pu (0.5000, 0.5000, 0.5000)  5.50

## Properties
energy: -9.415 eV/atom
distance to the lowest polymorph of the same formula: 0 meV per atom
DOS at the Fermi energy: 7.58 states/eV/cell
formation energy from the elements: -0.2723 eV per atom
total moment: 5.87 μB/f.u.

[7]
Computed, not measured: a geometry-optimized CaTmAg structure at the PBE level of DFT.

Unit cell a=4.9481 b=4.9481 c=9.2135 alpha=74.42 beta=74.42 gamma=60.00
Element x y z (fractional)
Ag (0.2581, 0.2581, 0.2258)
Ag (0.7419, 0.7419, 0.7742)
Tm (0.3716, 0.3716, 0.8853)
Tm (0.6284, 0.6284, 0.1147)
Ca (0.8759, 0.8759, 0.3724)
Ca (0.1241, 0.1241, 0.6276)

## Properties
energy: -3.135 eV/atom
distance to the lowest polymorph of the same formula: 138 meV per atom
DOS at the Fermi energy: 8.13 states/eV/cell
formation energy from the elements: -0.0273 eV per atom
total moment: 0.00 μB/f.u.

[8]
Computed, not measured: a geometry-optimized SiGeBi3 structure at the PBE level of DFT.

Unit cell a=5.4115 b=5.4115 c=5.4115 alpha=90.00 beta=90.00 gamma=90.00
Element x y z (fractional)
Ge (0.5000, 0.5000, 0.5000)
Si (0.0000, 0.0000, 0.0000)
Bi (0.0000, 0.5000, 0.0000)
Bi (0.0000, 0.0000, 0.5000)
Bi (0.5000, 0.0000, 0.0000)

## Properties
energy relative to the elements, uncorrected: 71.4 kJ/mol of atoms
energy: -3.597 eV/atom
distance to the lowest polymorph of the same formula: 0 meV per atom
DOS at the Fermi energy: 5.82 states/eV/cell
total moment: 0.00 μB/f.u.

[9]
Computed, not measured: a geometry-optimized Tl8Cl structure at the PBE level of DFT.

Unit cell a=7.9084 b=7.9084 c=7.9084 alpha=95.37 beta=95.37 gamma=144.36
Element x y z (fractional)
Tl (0.6632, 0.3368, 0.0000)
Tl (0.3368, 0.6632, 0.0000)
Tl (0.0000, 0.6689, 0.6689)
Tl (0.3368, 0.3368, 0.6735)
Tl (0.6689, 0.0000, 0.6689)
Tl (0.6632, 0.6632, 0.3265)
Tl (0.0000, 0.3311, 0.3311)
Tl (0.3311, 0.0000, 0.3311)
Cl (0.0000, 0.0000, 0.0000)

## Properties
energy relative to the elements, uncorrected: -12.2 kJ/mol of atoms
energy: -2.435 eV/atom
DOS at the Fermi energy: 2.50 states/eV/cell
total moment: 0.00 μB/f.u.

[10]
Computed, not measured: a geometry-optimized Y4TlHg5 structure at the PBE level of DFT.

Unit cell a=3.7813 b=3.7813 c=18.1734 alpha=90.00 beta=90.00 gamma=90.00
Element x y z (fractional)
Y (0.0000, 0.0000, 0.1966)
Y (0.0000, 0.0000, 0.3991)
Y (0.0000, 0.0000, 0.6009)
Y (0.0000, 0.0000, 0.8034)
Tl (0.0000, 0.0000, 0.0000)
Hg (0.5000, 0.5000, 0.1049)
Hg (0.5000, 0.5000, 0.3015)
Hg (0.5000, 0.5000, 0.5000)
Hg (0.5000, 0.5000, 0.6985)
Hg (0.5000, 0.5000, 0.8951)

## Properties
energy: -3.388 eV/atom
DOS at the Fermi energy: 7.63 states/eV/cell
formation energy from the elements: -0.4146 eV per atom
total moment: 0.00 μB/f.u.

[11]
Computed, not measured: a geometry-optimized Ba6Zn2N structure at the PBE level of DFT.

Unit cell a=4.5134 b=8.0797 c=12.6673 alpha=72.26 beta=79.74 gamma=73.78
Element x y z (fractional)
Ba (0.8266, 0.2451, 0.1016)
Ba (0.1734, 0.7549, 0.8984)
Ba (0.3489, 0.7488, 0.5534)
Ba (0.0192, 0.7663, 0.1954)
Ba (0.9808, 0.2337, 0.8046)
Ba (0.6511, 0.2512, 0.4466)
Zn (0.3212, 0.0509, 0.3066)
Zn (0.6788, 0.9491, 0.6934)
N (0.0000, 0.0000, 0.0000)

## Properties
energy relative to the elements, uncorrected: -4.5 kJ/mol of atoms
energy: -2.536 eV/atom
distance to the lowest polymorph of the same formula: 141 meV per atom
DOS at the Fermi energy: 10.29 states/eV/cell
total moment: 0.00 μB/f.u.